Below is a relaxed Ni5Pt7 crystal, with properties calculated at the GGA-PBEsol level.

Results
DFT formation energy: -0.04 eV per atom
VASP energy: -160.07 eV for the cell shown
Magnetization: 5.7 μB per formula unit
DOS at the Fermi energy: 1.61 states/eV/atom
Energy above the most stable polymorph in this dataset: 0.0054 eV/atom

Lattice parameters (Å, degrees): 13.037 5.293 4.616 90.00 90.48 90.00
Space group C2 (No. 5)
Symmetry-distinct sites (fractional):
Ni: 0.000 0.000 0.000
Ni: 0.166 0.003 0.331
Ni: 0.167 0.250 0.835
Pt: 0.000 0.239 0.500
Pt: 0.000 0.490 0.000
Pt: 0.000 0.754 0.500
Pt: 0.168 0.760 0.845
Pt: 0.172 0.499 0.343

Below is a relaxed Ni3Pt crystal, with properties calculated at the GGA-PBEsol level.

Results
DFT formation energy: -0.06 eV per atom
VASP energy: -51.39 eV for the cell shown
Magnetization: 2.3 μB per formula unit
DOS at the Fermi energy: 1.41 states/eV/atom

Lattice parameters (Å, degrees): 3.599 3.599 7.183 90.00 90.00 90.00
Space group I4/mmm (No. 139)
Symmetry-distinct sites (fractional):
Ni: 0.000 0.000 0.000
Ni: 0.000 0.500 0.250
Pt: 0.000 0.000 0.500

Below is a relaxed NiPt3 crystal, with properties calculated at the GGA-PBEsol level.

Results
DFT formation energy: 0.02 eV per atom
VASP energy: -53.92 eV for the cell shown
Magnetization: 1.5 μB per formula unit
DOS at the Fermi energy: 1.94 states/eV/atom

Lattice parameters (Å, degrees): 2.705 8.971 4.650 90.00 90.00 90.00
Space group Imm2 (No. 44)
Symmetry-distinct sites (fractional):
Ni: 0.000 0.000 0.000
Pt: 0.000 0.255 0.662
Pt: 0.000 0.500 0.006

Below is a relaxed Ni3Pt crystal, with properties calculated at the GGA-PBEsol level.

Results
DFT formation energy: 0.00 eV per atom
VASP energy: -25.44 eV for the cell shown
Magnetization: 2.3 μB per formula unit
DOS at the Fermi energy: 1.90 states/eV/atom

Lattice parameters (Å, degrees): 2.606 4.131 4.364 90.00 90.00 90.00
Space group Pmm2 (No. 25)
Symmetry-distinct sites (fractional):
Ni: 0.000 0.000 0.000
Ni: 0.000 0.500 0.330
Ni: 0.500 0.000 0.483
Pt: 0.500 0.500 0.829

Below is a relaxed Ni3Pt2 crystal, with properties calculated at the GGA-PBEsol level.

Results
DFT formation energy: 0.01 eV per atom
VASP energy: -258.62 eV for the cell shown
Magnetization: 2.8 μB per formula unit
DOS at the Fermi energy: 1.54 states/eV/atom
Energy above the most stable polymorph in this dataset: 0.0527 eV/atom

Lattice parameters (Å, degrees): 8.632 12.503 4.624 90.00 90.00 90.00
Space group Fdd2 (No. 43)
Symmetry-distinct sites (fractional):
Ni: 0.000 0.000 0.000
Ni: 0.035 0.402 0.043
Pt: 0.026 0.301 0.568

Below is a relaxed Ni3Pt crystal, with properties calculated at the GGA-PBEsol level.

Results
DFT formation energy: -0.03 eV per atom
VASP energy: -25.56 eV for the cell shown
Magnetization: 2.3 μB per formula unit
DOS at the Fermi energy: 1.55 states/eV/atom

Lattice parameters (Å, degrees): 2.597 3.519 5.109 90.00 90.00 90.00
Space group Pmmm (No. 47)
Symmetry-distinct sites (fractional):
Ni: 0.000 0.000 0.000
Ni: 0.500 0.500 0.236
Pt: 0.000 0.000 0.500

Below is a relaxed NiPt crystal, with properties calculated at the GGA-PBEsol level.

Results
DFT formation energy: -0.04 eV per atom
VASP energy: -39.62 eV for the cell shown
Magnetization: 1.0 μB per formula unit
DOS at the Fermi energy: 1.50 states/eV/atom

Lattice parameters (Å, degrees): 2.6728 2.6728 12.5864 90.00 90.00 120.00
Space group R-3m (No. 166, hexagonal axes)
Symmetry-distinct sites (fractional):
Ni: 0.0000 0.0000 0.0000
Pt: 0.0000 0.0000 0.5000

Below is a relaxed NiPt2 crystal, with properties calculated at the GGA-PBEsol level.

Results
DFT formation energy: -0.03 eV per atom
VASP energy: -161.40 eV for the cell shown
Magnetization: 1.3 μB per formula unit
DOS at the Fermi energy: 1.68 states/eV/atom

Lattice parameters (Å, degrees): 13.130 5.362 4.664 90.00 90.09 90.00
Space group C2/c (No. 15)
Symmetry-distinct sites (fractional):
Ni: 0.080 0.122 0.415
Pt: 0.080 0.361 0.923
Pt: 0.248 0.123 0.746

Below is a relaxed NiPt3 crystal, with properties calculated at the GGA-PBEsol level.

Results
DFT formation energy: -0.04 eV per atom
VASP energy: -27.22 eV for the cell shown
Magnetization: 1.4 μB per formula unit
DOS at the Fermi energy: 1.76 states/eV/atom

Lattice parameters (Å, degrees): 2.729 2.729 7.468 90.00 90.00 90.00
Space group P4/mmm (No. 123)
Symmetry-distinct sites (fractional):
Ni: 0.000 0.000 0.000
Pt: 0.000 0.000 0.500
Pt: 0.500 0.500 0.230

Below is a relaxed Ni4Pt7 crystal, with properties calculated at the GGA-PBEsol level.

Results
DFT formation energy: -0.04 eV per atom
VASP energy: -73.84 eV for the cell shown
Magnetization: 4.8 μB per formula unit
DOS at the Fermi energy: 1.68 states/eV/atom

Lattice parameters (Å, degrees): 4.602 4.660 7.067 96.28 90.23 99.06
Space group P-1 (No. 2)
Symmetry-distinct sites (fractional):
Ni: 0.092 0.044 0.182
Ni: 0.182 0.593 0.364
Pt: 0.000 0.500 0.000
Pt: 0.265 0.141 0.540
Pt: 0.356 0.680 0.722
Pt: 0.453 0.222 0.906

Below is a relaxed Ni3Pt crystal, with properties calculated at the GGA-PBEsol level.

Results
DFT formation energy: -0.05 eV per atom
VASP energy: -102.55 eV for the cell shown
Magnetization: 2.4 μB per formula unit
DOS at the Fermi energy: 1.64 states/eV/atom

Lattice parameters (Å, degrees): 5.087 10.212 3.588 90.00 90.00 90.00
Space group Cmmm (No. 65)
Symmetry-distinct sites (fractional):
Ni: 0.000 0.122 0.000
Ni: 0.238 0.000 0.500
Ni: 0.250 0.250 0.500
Pt: 0.000 0.371 0.000

Below is a relaxed Ni3Pt crystal, with properties calculated at the GGA-PBEsol level.

Results
DFT formation energy: 0.11 eV per atom
VASP energy: -74.94 eV for the cell shown
Magnetization: 1.3 μB per formula unit
DOS at the Fermi energy: 1.90 states/eV/atom

Lattice parameters (Å, degrees): 8.0533 8.0533 2.5359 90.00 90.00 120.00
Space group R-3m (No. 166, hexagonal axes)
Symmetry-distinct sites (fractional):
Ni: 0.0000 0.5000 0.0000
Pt: 0.0000 0.0000 0.0000